No. 1
Computed, not measured: a geometry-optimized SrHRh2 structure at the PBE level of DFT.

Unit cell a=6.4404 b=6.4404 c=6.4404 alpha=90.00 beta=90.00 gamma=90.00
Closest atoms and distances in Å follow each position.
Space group Fm-3m (No. 225)
Asymmetric unit:
Sr 0.0000 0.0000 0.0000 (multiplicity 4)  8 Rh 2.79
H 0.0000 0.0000 0.5000 (multiplicity 4)  8 Rh 2.79
Rh 0.2500 0.2500 0.2500 (multiplicity 8)  4 Sr 2.79, 4 H 2.79

Calculated values
Theoretical density in kg/m³: 7321
E above lowest polymorph in meV per atom: 1152
Final energy in eV/atom: -4.07

---

No. 2
Computed, not measured: a geometry-optimized AcHfBiO5 structure at the PBE level of DFT.

Unit cell a=8.0722 b=9.5055 c=8.1175 alpha=90.00 beta=115.99 gamma=90.00
Closest atoms and distances in Å follow each position.
Space group C2/c (No. 15)
Asymmetric unit:
Ac 0.0000 0.0643 0.2500 (multiplicity 4)  4 O 2.45-2.60
Hf 0.2500 0.2500 0.0000 (multiplicity 4)  6 O 2.07-2.15
Bi 0.0000 0.4613 0.2500 (multiplicity 4)  4 O 2.13-2.33
O 0.0000 0.2293 0.7500 (multiplicity 4)  2 Hf 2.15
O 0.0847 0.2933 0.1301 (multiplicity 8)  1 Hf 2.07, 1 Bi 2.13
O 0.2059 0.0373 0.0466 (multiplicity 8)  1 Hf 2.12, 1 Bi 2.33

Calculated values
Theoretical density in kg/m³: 8239
ΔE_f (raw) in meV/atom: -2697.9
Final energy in eV/atom: -8.04

---

No. 3
Computed, not measured: a geometry-optimized RbLiSnF4 structure at the PBE level of DFT.

Unit cell a=6.2764 b=5.9768 c=7.4716 alpha=90.00 beta=108.57 gamma=90.00
Closest atoms and distances in Å follow each position.
Space group P2_1/m (No. 11)
Asymmetric unit:
Rb 0.2283 0.2500 0.0521 (multiplicity 2)  6 F 2.81-2.99
Li 0.4834 0.2500 0.7106 (multiplicity 2)  4 F 1.86-1.90
Sn 0.2132 0.7500 0.5449 (multiplicity 2)  3 F 2.11-2.17
F 0.2044 0.7500 0.2139 (multiplicity 2)  1 Li 1.86
F 0.3408 0.5046 0.7666 (multiplicity 4)  1 Li 1.88
F 0.4482 0.2500 0.4489 (multiplicity 2)  1 Li 1.90, 1 Sn 2.11

Calculated values
Theoretical density in kg/m³: 3589
ΔE_f (raw) in meV/atom: -2602.3
Final energy in eV/atom: -4.66

---

No. 4
Computed, not measured: a geometry-optimized KCaCd structure at the PBE level of DFT.

Unit cell a=8.1405 b=8.1405 c=8.1405 alpha=90.00 beta=90.00 gamma=90.00
Closest atoms and distances in Å follow each position.
Space group F-43m (No. 216)
Asymmetric unit:
K 0.0000 0.0000 0.0000 (multiplicity 4)  4 Cd 3.52, 4 Ca 3.52
Ca 0.2500 0.2500 0.2500 (multiplicity 4)  4 K 3.52
Cd 0.2500 0.2500 0.7500 (multiplicity 4)  4 K 3.52

Calculated values
Theoretical density in kg/m³: 2359
Energy of formation in eV/atom: 0.402
Final energy in eV/atom: -0.94

---

No. 5
Computed, not measured: a geometry-optimized PuMgSnPb structure at the PBE level of DFT.

Unit cell a=7.4963 b=7.4963 c=7.4963 alpha=90.00 beta=90.00 gamma=90.00
Closest atoms and distances in Å follow each position.
Space group F-43m (No. 216)
Asymmetric unit:
Pu 0.0000 0.0000 0.0000 (multiplicity 4)  4 Sn 3.25, 4 Pb 3.25
Mg 0.0000 0.0000 0.5000 (multiplicity 4)  4 Pb 3.25, 4 Sn 3.25
Sn 0.2500 0.2500 0.7500 (multiplicity 4)  4 Mg 3.25, 4 Pu 3.25
Pb 0.2500 0.2500 0.2500 (multiplicity 4)  4 Mg 3.25, 4 Pu 3.25

Calculated values
Theoretical density in kg/m³: 9369
Energy of formation in eV/atom: -0.145
E above lowest polymorph in meV per atom: 106
Final energy in eV/atom: -6.05

---

No. 6
Computed, not measured: a geometry-optimized Pr3EuPt structure at the PBE level of DFT.

Unit cell a=5.7689 b=5.7689 c=5.7689 alpha=90.00 beta=90.00 gamma=90.00
Closest atoms and distances in Å follow each position.
Space group Pm-3m (No. 221)
Asymmetric unit:
Pr 0.0000 0.0000 0.5000 (multiplicity 3)  2 Pt 2.88
Eu 0.5000 0.5000 0.5000 (multiplicity 1)  12 Pr 4.08
Pt 0.0000 0.0000 0.0000 (multiplicity 1)  6 Pr 2.88

Calculated values
Theoretical density in kg/m³: 6658
Energy of formation in eV/atom: -0.305
Final energy in eV/atom: -6.44

---

No. 7
Computed, not measured: a geometry-optimized BeTeCI2 structure at the PBE level of DFT.

Unit cell a=5.0540 b=5.0540 c=4.7124 alpha=90.00 beta=90.00 gamma=90.00
Closest atoms and distances in Å follow each position.
Space group P4/mmm (No. 123)
Asymmetric unit:
Be 0.0000 0.0000 0.0000 (multiplicity 1)  8 I 3.46, 4 Te 3.57
Te 0.5000 0.5000 0.0000 (multiplicity 1)  2 C 2.36
C 0.5000 0.5000 0.5000 (multiplicity 1)  2 Te 2.36, 4 I 2.53
I 0.0000 0.5000 0.5000 (multiplicity 2)  2 C 2.53

Calculated values
Theoretical density in kg/m³: 5552
ΔE_f (raw) in meV/atom: 1472.4
E above lowest polymorph in meV per atom: 0
Final energy in eV/atom: -2.37

---

No. 8
Computed, not measured: a geometry-optimized Ca2LaSe structure at the PBE level of DFT.

Unit cell a=6.1905 b=3.8803 c=6.7174 alpha=90.00 beta=117.37 gamma=90.00
Closest atoms and distances in Å follow each position.
Space group P2/m (No. 10)
Asymmetric unit:
Ca 0.1778 0.0000 0.3553 (multiplicity 2)  2 Se 2.87
La 0.5000 0.5000 0.0000 (multiplicity 1)  2 Se 3.10
Se 0.0000 0.5000 0.0000 (multiplicity 1)  4 Ca 2.87, 2 La 3.10

Calculated values
Theoretical density in kg/m³: 3453
ΔE_f (raw) in meV/atom: -790.7
Final energy in eV/atom: -3.89

---

No. 9
Computed, not measured: a geometry-optimized NdYEr2 structure at the PBE level of DFT.

Unit cell a=3.5961 b=3.5961 c=34.4811 alpha=90.00 beta=90.00 gamma=120.00
Closest atoms and distances in Å follow each position.
Space group R3m (No. 160, hexagonal axes)
Asymmetric unit:
Nd 0.0000 0.0000 0.0000 (multiplicity 3)  6 Er 3.56-3.59, 6 Nd 3.60
Y 0.0000 0.0000 0.8342 (multiplicity 3)  6 Er 3.50-3.53, 6 Y 3.60
Er 0.0000 0.0000 0.4182 (multiplicity 3)  3 Y 3.53, 3 Nd 3.59, 6 Er 3.60
Er 0.0000 0.0000 0.5827 (multiplicity 3)  3 Y 3.50, 3 Nd 3.56, 6 Er 3.60

Calculated values
Theoretical density in kg/m³: 7323
Energy of formation in eV/atom: 0.009
E above lowest polymorph in meV per atom: 0
Final energy in eV/atom: -5.08

---

No. 10
Computed, not measured: a geometry-optimized NpCo4Sb structure at the PBE level of DFT.

Unit cell a=7.0537 b=7.0537 c=7.0537 alpha=90.00 beta=90.00 gamma=90.00
Closest atoms and distances in Å follow each position.
Space group F-43m (No. 216)
Asymmetric unit:
Np 0.0000 0.0000 0.0000 (multiplicity 4)  12 Co 2.93, 4 Sb 3.05
Co 0.1241 0.1241 0.6241 (multiplicity 16)  6 Co 2.48-2.51
Sb 0.2500 0.2500 0.2500 (multiplicity 4)  12 Co 2.92, 4 Np 3.05

Calculated values
Theoretical density in kg/m³: 11251
ΔE_f (raw) in meV/atom: -55.3
Final energy in eV/atom: -7.64

---

No. 11
Computed, not measured: a geometry-optimized Nd2HoPa2Rh5 structure at the PBE level of DFT.

Unit cell a=10.9814 b=10.9814 c=3.6047 alpha=90.00 beta=90.00 gamma=90.00
Closest atoms and distances in Å follow each position.
Space group P4/mbm (No. 127)
Asymmetric unit:
Nd 0.1715 0.3285 0.0000 (multiplicity 4)  1 Pa 2.98, 2 Rh 3.22
Ho 0.0000 0.0000 0.0000 (multiplicity 2)  8 Rh 2.92
Pa 0.1368 0.6368 0.0000 (multiplicity 4)  6 Rh 2.69-2.79, 1 Nd 2.98
Rh 0.0000 0.5000 0.5000 (multiplicity 2)  4 Pa 2.79
Rh 0.0541 0.7982 0.5000 (multiplicity 8)  2 Pa 2.69, 2 Ho 2.92

Calculated values
Theoretical density in kg/m³: 10925
Energy of formation in eV/atom: -0.655
Final energy in eV/atom: -7.64

---

No. 12
Computed, not measured: a geometry-optimized TbHo5Ag6 structure at the PBE level of DFT.

Unit cell a=5.1502 b=15.4488 c=7.1887 alpha=90.00 beta=90.00 gamma=90.00
Closest atoms and distances in Å follow each position.
Space group Cmmm (No. 65)
Asymmetric unit:
Tb 0.0000 0.0000 0.0000 (multiplicity 2)  8 Ag 3.15-3.16
Ho 0.0000 0.0000 0.5000 (multiplicity 2)  8 Ag 3.13-3.15
Ho 0.0000 0.3330 0.0000 (multiplicity 4)  8 Ag 3.13-3.15
Ho 0.0000 0.3337 0.5000 (multiplicity 4)  8 Ag 3.13
Ag 0.0000 0.1676 0.2514 (multiplicity 8)  7 Ho 3.13-3.15, 1 Tb 3.16
Ag 0.0000 0.5000 0.2518 (multiplicity 4)  6 Ho 3.13-3.15, 2 Tb 3.15

Calculated values
Theoretical density in kg/m³: 9469
Energy of formation in eV/atom: -0.328
Final energy in eV/atom: -4.05